[1]
First-principles (PBE) data for an optimized crystal structure of NaCaOF, as listed in Alexandria via LeMat-Bulk.

Summary:
As for the formation energy from raw total energies: -2.79 eV per atom. As for the space-group type: P4/mmm.

a = 3.3577 Å, b = 3.3577 Å, c = 4.8446 Å
α = 90.00°, β = 90.00°, γ = 90.00°
Closest atoms and distances in Å follow each position.
Fractional coordinates of all 4 atoms:
1 Na 0.0000 0.0000 0.0000  4 F 2.37, 2 O 2.42
2 Ca 0.5000 0.5000 0.5000  4 O 2.37, 2 F 2.42
3 O 0.0000 0.0000 0.5000  4 Ca 2.37, 2 Na 2.42
4 F 0.5000 0.5000 0.0000  4 Na 2.37, 2 Ca 2.42

[2]
First-principles (PBE) data for an optimized crystal structure of NaYTlB2, as listed in Alexandria via LeMat-Bulk.

Summary:
The value obtained for the formation energy is 1.489 eV/atom. As for the space-group type: P4/mmm.

a = 4.7531 Å, b = 4.7531 Å, c = 6.0145 Å
α = 90.00°, β = 90.00°, γ = 90.00°
Closest atoms and distances in Å follow each position.
Fractional coordinates of all 5 atoms:
1 Na 0.0000 0.0000 0.0000  2 Y 3.01, 4 Tl 3.36
2 Y 0.0000 0.0000 0.5000  4 B 2.38
3 Tl 0.5000 0.5000 0.0000  4 Na 3.36
4 B 0.0000 0.5000 0.5000  2 Y 2.38
5 B 0.5000 0.0000 0.5000  2 Y 2.38

[3]
First-principles (PBE) data for an optimized crystal structure of Rb3Ac3CdO8, as listed in Alexandria via LeMat-Bulk.

Summary:
As for the formation energy from raw total energies: -2.06 eV per atom. As for the space-group type: P-1.

a = 7.4455 Å, b = 7.6124 Å, c = 7.9255 Å
α = 118.11°, β = 90.77°, γ = 118.74°
Closest atoms and distances in Å follow each position.
Fractional coordinates of all 15 atoms:
1 Rb 0.0000 0.0000 0.0000  6 O 2.97-3.12
2 Rb 0.0000 0.5000 0.0000  6 O 2.98-3.11
3 Rb 0.5000 0.0000 0.0000  6 O 2.99-3.09
4 Ac 0.0000 0.0000 0.5000  6 O 2.38-2.60
5 Ac 0.5000 0.0000 0.5000  6 O 2.48-2.58
6 Ac 0.5000 0.5000 0.5000  6 O 2.52-2.54
7 Cd 0.0000 0.5000 0.5000  4 O 2.26-2.28
8 O 0.2088 0.4607 0.6708  1 Cd 2.26
9 O 0.2371 0.9945 0.6984  2 Ac 2.38-2.52
10 O 0.2479 0.5436 0.3322  1 Cd 2.28, 1 Ac 2.52
11 O 0.2763 0.0489 0.3137  3 Ac 2.48-2.53
12 O 0.7237 0.9511 0.6863  3 Ac 2.48-2.53
13 O 0.7521 0.4564 0.6678  1 Cd 2.28, 1 Ac 2.52
14 O 0.7629 0.0055 0.3016  2 Ac 2.38-2.52
15 O 0.7912 0.5393 0.3292  1 Cd 2.26

[4]
First-principles (PBE) data for an optimized crystal structure of Nd2TiZn2Pt5, as listed in Alexandria via LeMat-Bulk.

Summary:
The value obtained for the formation energy is -0.845 eV/atom. As for the space-group type: P4/mbm.

a = 9.8840 Å, b = 9.8840 Å, c = 3.7545 Å
α = 90.00°, β = 90.00°, γ = 90.00°
Closest atoms and distances in Å follow each position.
Fractional coordinates of all 20 atoms:
1 Nd 0.1755 0.3245 0.0000  3 Zn 2.81-3.00, 2 Pt 3.09
2 Nd 0.3245 0.8245 0.0000  3 Zn 2.81-3.00, 2 Pt 3.09
3 Nd 0.6755 0.1755 0.0000  3 Zn 2.81-3.00, 2 Pt 3.09
4 Nd 0.8245 0.6755 0.0000  3 Zn 2.81-3.00, 2 Pt 3.09
5 Ti 0.0000 0.0000 0.0000  8 Pt 2.79
6 Ti 0.5000 0.5000 0.0000  8 Pt 2.79
7 Zn 0.1231 0.6231 0.0000  6 Pt 2.55-2.65, 1 Nd 2.81
8 Zn 0.3769 0.1231 0.0000  6 Pt 2.55-2.65, 1 Nd 2.81
9 Zn 0.6231 0.8769 0.0000  6 Pt 2.55-2.65, 1 Nd 2.81
10 Zn 0.8769 0.3769 0.0000  6 Pt 2.55-2.65, 1 Nd 2.81
11 Pt 0.0000 0.5000 0.5000  4 Zn 2.55
12 Pt 0.0587 0.8003 0.5000  2 Zn 2.65, 2 Ti 2.79, 2 Pt 2.91
13 Pt 0.1997 0.0587 0.5000  2 Zn 2.65, 2 Ti 2.79, 2 Pt 2.91
14 Pt 0.3003 0.5587 0.5000  2 Zn 2.65, 2 Ti 2.79, 2 Pt 2.91
15 Pt 0.4413 0.3003 0.5000  2 Zn 2.65, 2 Ti 2.79, 2 Pt 2.91
16 Pt 0.5000 0.0000 0.5000  4 Zn 2.55
17 Pt 0.5587 0.6997 0.5000  2 Zn 2.65, 2 Ti 2.79, 2 Pt 2.91
18 Pt 0.6997 0.4413 0.5000  2 Zn 2.65, 2 Ti 2.79, 2 Pt 2.91
19 Pt 0.8003 0.9413 0.5000  2 Zn 2.65, 2 Ti 2.79, 2 Pt 2.91
20 Pt 0.9413 0.1997 0.5000  2 Zn 2.65, 2 Ti 2.79, 2 Pt 2.91

no.,mass density (g cm⁻³),size of the total moment (μB per atom),DFT total energy (eV/atom)
1,2.98,0.00,-5.327
2,4.13,0.00,-3.212
3,5.92,0.14,-5.776
4,13.06,0.00,-5.863